# DyScGaGe PBE optimized geometry
data_DyScGaGe
_space_group_name_H-M_alt 'A m m 2'
_space_group_IT_number 38
_cell_length_a 3.921
_cell_length_b 4.195
_cell_length_c 10.493
_cell_angle_alpha 90.00
_cell_angle_beta 90.00
_cell_angle_gamma 90.00
loop_
_space_group_symop_operation_xyz
'x,y,z'
'-x,-y,z'
'-x,y,z'
'x,-y,z'
'x,y+1/2,z+1/2'
'-x,-y+1/2,z+1/2'
'-x,y+1/2,z+1/2'
'x,-y+1/2,z+1/2'
loop_
_atom_site_label
_atom_site_type_symbol
_atom_site_fract_x
_atom_site_fract_y
_atom_site_fract_z
_atom_site_occupancy
Dy1 Dy 0.000 0.000 0.000 1
Sc1 Sc 0.500 0.000 0.723 1
Ga1 Ga 0.500 0.000 0.439 1
Ge1 Ge 0.000 0.000 0.277 1
# - volume (Å³ per atom) = 21.574
# - polymorph energy (0 for the lowest one) (meV per atom) = 0
# - DFT formation energy (eV per atom) = -0.7500
# - calculated density (g cm⁻³) = 6.73